DFT (GGA-PBE) results for crystalline HgBiPdPt at its relaxed geometry.

Geometry as POSCAR:
```
HgBiPdPt
1.0
-1.502 -1.605 4.295
3.206 -0.924 3.486
0.250 2.871 3.870
Pd Bi Pt Hg
1 1 1 1
direct
0.250 0.250 0.250 Pd
0.500 0.500 0.500 Bi
0.750 0.750 0.750 Pt
0.000 0.000 0.000 Hg
```

Summary:
Space-group type: F-43m (216)
Calculated formation energy (kJ/mol of atoms): -8.44
Uncorrected energy (eV for the cell shown): -15.77
Calculated density (Mg/m³): 14.863
DOS at the Fermi energy (states/eV/atom): 0.246
V (Å³/cell): 79.44


DFT (GGA-PBE) results for crystalline Ce2Mn2Ge5 at its relaxed geometry.

Geometry as POSCAR:
```
Ce2Mn2Ge5
1.0
4.304 0.000 0.000
0.000 4.304 0.000
0.000 0.000 9.018
Ce Mn Ge
2 2 5
direct
0.000 0.000 0.000 Ce
0.000 0.000 0.500 Ce
0.500 0.500 0.109 Mn
0.500 0.500 0.891 Mn
0.500 0.000 0.245 Ge
0.500 0.000 0.755 Ge
0.000 0.500 0.245 Ge
0.000 0.500 0.755 Ge
0.500 0.500 0.500 Ge
```

Summary:
Space-group type: P4/mmm (123)
Calculated formation energy (kJ/mol of atoms): -33.58
Uncorrected energy (eV for the cell shown): -56.43
Calculated density (Mg/m³): 7.488
DOS at the Fermi energy (states/eV/atom): 0.997
V (Å³/cell): 167.06